# 1
Cs2K3Cd4Au2 | PBE | optimized geometry

abc: 21.473 21.473 21.473
angles: 167.23 167.23 18.10
Atoms (fractional coordinates):
Cs: 0.200 0.200 0.000
Cs: 0.800 0.800 0.000
K: 0.370 0.370 0.000
K: 0.500 0.500 0.000
K: 0.630 0.630 0.000
Cd: 0.067 0.567 0.500
Cd: 0.433 0.933 0.500
Cd: 0.567 0.067 0.500
Cd: 0.933 0.433 0.500
Au: 0.106 0.106 0.000
Au: 0.894 0.894 0.000

Computed properties:
calculated total energy: -16.3 eV for the cell shown
calculated density: 4.2 g cm⁻³
ΔE_f: -97 meV per atom



# 2
CsK2CdAu | PBE | optimized geometry

abc: 6.689 6.689 5.505
angles: 90.00 90.00 90.00
Atoms (fractional coordinates):
Cs: 0.000 0.000 0.000
K: 0.000 0.500 0.500
K: 0.500 0.000 0.500
Cd: 0.500 0.500 0.500
Au: 0.500 0.500 0.000

Computed properties:
calculated total energy: -7.3 eV for the cell shown
polymorph energy (0 for the lowest one): 0.098 eV/atom
calculated density: 3.5 g cm⁻³
ΔE_f: -9 meV per atom



# 3
Cs2K3Cd2Au4 | PBE | optimized geometry

abc: 14.767 14.767 14.767
angles: 158.29 158.29 30.90
Atoms (fractional coordinates):
Cs: 0.180 0.180 0.000
Cs: 0.820 0.820 0.000
K: 0.364 0.364 0.000
K: 0.500 0.500 0.000
K: 0.636 0.636 0.000
Cd: 0.053 0.053 0.000
Cd: 0.947 0.947 0.000
Au: 0.079 0.579 0.500
Au: 0.421 0.921 0.500
Au: 0.579 0.079 0.500
Au: 0.921 0.421 0.500

Computed properties:
calculated total energy: -21.8 eV for the cell shown
calculated density: 5.3 g cm⁻³
ΔE_f: -172 meV per atom



# 4
CsK2CdAu | PBE | optimized geometry

abc: 6.403 6.403 6.877
angles: 90.00 90.00 90.00
Atoms (fractional coordinates):
Cs: 0.000 0.000 0.000
K: 0.000 0.500 0.500
K: 0.500 0.000 0.500
Cd: 0.500 0.500 0.000
Au: 0.000 0.000 0.500

Computed properties:
calculated total energy: -7.5 eV for the cell shown
polymorph energy (0 for the lowest one): 0.061 eV/atom
calculated density: 3.1 g cm⁻³
ΔE_f: -46 meV per atom



# 5
Cs4K2CdAu2 | PBE | optimized geometry

abc: 7.128 8.414 9.933
angles: 85.48 74.29 77.14
Atoms (fractional coordinates):
Cs: 0.074 0.238 0.475
Cs: 0.227 0.690 0.898
Cs: 0.773 0.310 0.102
Cs: 0.926 0.762 0.525
K: 0.452 0.142 0.779
K: 0.548 0.858 0.221
Cd: 0.500 0.500 0.500
Au: 0.403 0.857 0.560
Au: 0.597 0.143 0.440

Computed properties:
calculated total energy: -14.4 eV for the cell shown
calculated density: 3.3 g cm⁻³
ΔE_f: -144 meV per atom



# 6
Cs4K2Cd2Au | PBE | optimized geometry

abc: 9.140 9.140 7.725
angles: 99.88 99.88 63.18
Atoms (fractional coordinates):
Cs: 0.130 0.652 0.718
Cs: 0.348 0.870 0.282
Cs: 0.652 0.130 0.718
Cs: 0.870 0.348 0.282
K: 0.341 0.341 0.167
K: 0.659 0.659 0.833
Cd: 0.149 0.149 0.779
Cd: 0.851 0.851 0.221
Au: 0.000 0.000 0.500

Computed properties:
calculated total energy: -11.2 eV for the cell shown
calculated density: 3.0 g cm⁻³
ΔE_f: -57 meV per atom



# 7
CsK2CdAu | PBE | optimized geometry

abc: 6.535 6.535 5.581
angles: 90.00 90.00 90.00
Atoms (fractional coordinates):
Cs: 0.000 0.000 0.000
K: 0.000 0.500 0.500
K: 0.500 0.000 0.500
Cd: 0.500 0.500 0.000
Au: 0.500 0.500 0.500

Computed properties:
calculated total energy: -7.8 eV for the cell shown
polymorph energy (0 for the lowest one): 0.000 eV/atom
calculated density: 3.6 g cm⁻³
ΔE_f: -107 meV per atom



# 8
CsLi2CdAu | PBE | optimized geometry

abc: 5.384 5.384 5.435
angles: 90.00 90.00 90.00
Atoms (fractional coordinates):
Cs: 0.000 0.000 0.000
Li: 0.000 0.500 0.500
Li: 0.500 0.000 0.500
Cd: 0.500 0.500 0.000
Au: 0.500 0.500 0.500

Computed properties:
calculated total energy: -9.5 eV for the cell shown
calculated density: 4.8 g cm⁻³
ΔE_f: -127 meV per atom



# 9
Cs2LiCdAu | PBE | optimized geometry

abc: 6.951 6.951 5.144
angles: 90.00 90.00 90.00
Atoms (fractional coordinates):
Cs: 0.000 0.500 0.000
Cs: 0.500 0.000 0.000
Li: 0.000 0.000 0.500
Cd: 0.500 0.500 0.500
Au: 0.000 0.000 0.000

Computed properties:
calculated total energy: -8.1 eV for the cell shown
calculated density: 3.9 g cm⁻³
ΔE_f: -62 meV per atom



# 10
CsLiCd2Au | PBE | optimized geometry

abc: 5.475 5.475 5.351
angles: 90.00 90.00 90.00
Atoms (fractional coordinates):
Cs: 0.000 0.000 0.000
Li: 0.500 0.500 0.000
Cd: 0.000 0.500 0.500
Cd: 0.500 0.000 0.500
Au: 0.500 0.500 0.500

Computed properties:
calculated total energy: -8.6 eV for the cell shown
calculated density: 5.8 g cm⁻³
ΔE_f: -139 meV per atom



# 11
CsMgCd2Au | PBE | optimized geometry

abc: 5.498 5.498 5.310
angles: 90.00 90.00 90.00
Atoms (fractional coordinates):
Cs: 0.000 0.000 0.000
Mg: 0.500 0.500 0.000
Cd: 0.000 0.500 0.500
Cd: 0.500 0.000 0.500
Au: 0.500 0.500 0.500

Computed properties:
calculated total energy: -8.2 eV for the cell shown
calculated density: 6.0 g cm⁻³
ΔE_f: -121 meV per atom



# 12
CsNa2Cd2Au2 | PBE | optimized geometry

abc: 10.770 10.770 10.770
angles: 26.50 26.50 26.50
Atoms (fractional coordinates):
Cs: 0.000 0.000 0.000
Na: 0.135 0.135 0.135
Na: 0.865 0.865 0.865
Cd: 0.244 0.244 0.244
Cd: 0.756 0.756 0.756
Au: 0.426 0.426 0.426
Au: 0.574 0.574 0.574

Computed properties:
calculated total energy: -13.3 eV for the cell shown
calculated density: 6.0 g cm⁻³
ΔE_f: -210 meV per atom



# 13
CsNaCd2Au2 | PBE | optimized geometry

abc: 4.921 4.921 8.685
angles: 90.00 90.00 120.00
Atoms (fractional coordinates):
Cs: 0.000 0.000 0.000
Na: 0.000 0.000 0.500
Cd: 0.333 0.667 0.333
Cd: 0.667 0.333 0.667
Au: 0.333 0.667 0.680
Au: 0.667 0.333 0.320

Computed properties:
calculated total energy: -12.2 eV for the cell shown
calculated density: 7.1 g cm⁻³
ΔE_f: -269 meV per atom